First-principles (GGA-PBE) data for a geometry-optimized Hg2C structure, as listed in Alexandria via LeMat-Bulk.

Properties
E above lowest polymorph (meV/atom): 1150.4
Raw total energy (eV per atom): -1.654
Energy relative to the elements (eV/f.u.): 4.866
Spin magnetization (μB/atom): 0.1937

Lattice parameters (Å, degrees): 3.776 3.776 11.234 90.00 90.00 120.00
Fractional positions:
Hg1 0.000 0.000 0.000
Hg2 0.000 0.000 0.500
Hg3 0.333 0.667 0.250
Hg4 0.667 0.333 0.750
C1 0.333 0.667 0.750
C2 0.667 0.333 0.250

---

First-principles (GGA-PBE) data for a geometry-optimized CuBi2PtO6 structure, as listed in Alexandria via LeMat-Bulk.

Properties
Raw total energy (eV per atom): -5.612
Spin magnetization (μB/atom): 0.0741
Raw formation energy (meV/atom): -847

Lattice parameters (Å, degrees): 5.486 5.489 10.492 90.00 121.29 90.00
Fractional positions:
Cu1 0.000 0.000 0.000
Cu2 0.000 0.500 0.500
Bi1 0.222 0.049 0.714
Bi2 0.222 0.451 0.214
Bi3 0.778 0.549 0.786
Bi4 0.778 0.951 0.286
Pt1 0.500 0.000 0.500
Pt2 0.500 0.500 0.000
O1 0.184 0.688 0.008
O2 0.184 0.812 0.508
O3 0.187 0.064 0.285
O4 0.187 0.436 0.785
O5 0.362 0.216 0.077
O6 0.362 0.284 0.577
O7 0.638 0.716 0.423
O8 0.638 0.784 0.923
O9 0.813 0.564 0.215
O10 0.813 0.936 0.715
O11 0.816 0.188 0.492
O12 0.816 0.312 0.992